Density functional theory data (GGA+U) for PrUCrO6 after structural relaxation.

## Properties
Crystal system   trigonal
Total DFT energy (no corrections)   -8.82 eV per atom

abc: 5.420 5.420 10.295
angles: 90.00 90.00 120.00
Each line ends with the local moment (μB).
Sites, in units of the cell vectors:
Pr 0.000 0.000 0.000  0.01
Pr 0.000 0.000 0.500  0.01
U 0.667 0.333 0.250  0.08
U 0.333 0.667 0.750  0.08
Cr 0.333 0.667 0.250  2.93
Cr 0.667 0.333 0.750  2.93
O 0.636 0.645 0.142  -0.01
O 0.008 0.364 0.142  -0.01
O 0.364 0.008 0.642  -0.01
O 0.992 0.636 0.858  -0.01
O 0.355 0.364 0.358  -0.01
O 0.008 0.645 0.358  -0.01
O 0.645 0.008 0.858  -0.01
O 0.636 0.992 0.358  -0.01
O 0.992 0.355 0.642  -0.01
O 0.355 0.992 0.142  -0.01
O 0.645 0.636 0.642  -0.01
O 0.364 0.355 0.858  -0.01